# 1
VASP calculation (PBE) on crystalline YOs2Cl at its relaxed geometry.

Output
As for the uncorrected formation energy: -0.9 eV per formula unit.

```
YOs2Cl
1.0
-1.411 2.794 -2.544
-3.651 -0.441 -1.659
-4.610 4.334 4.170
Cl Os Y
1 2 1
Cartesian
-7.079 4.798 -0.380
-5.457 2.839 -3.432
-2.308 1.542 -0.205
-4.723 3.206 -0.236
```

# 2
VASP calculation (PBE) on crystalline RbGaO3 at its relaxed geometry.

Output
As for the uncorrected formation energy: -4.6 eV per formula unit.

```
RbGaO3
1.0
-0.532 3.924 -0.612
-3.274 -0.084 2.308
2.248 0.806 3.217
O Ga Rb
3 1 1
Cartesian
-1.637 -0.042 1.154
1.124 0.403 1.609
-0.266 1.962 -0.306
0.000 0.000 0.000
-0.779 2.323 2.457
```

# 3
VASP calculation (PBE) on crystalline RbBa at its relaxed geometry.

Output
Its formation energy is 0.12 eV per atom.

```
RbBa
1.0
-3.319 2.969 -1.155
-3.481 0.802 2.908
1.935 7.247 3.921
Rb Ba
1 1
Cartesian
-1.659 1.484 -0.578
-0.773 4.024 3.415
```

# 4
VASP calculation (PBE) on crystalline ScBeFe2 at its relaxed geometry.

Output
Its formation energy is -0.03 eV per atom.

```
ScBeFe2
1.0
-1.245 3.502 -1.011
-0.320 0.932 -3.724
-4.723 -0.023 -1.588
Sc Be Fe
1 1 2
Cartesian
-4.716 3.308 -4.742
-1.572 1.103 -1.581
-2.381 4.142 -4.736
-2.328 2.497 -3.160
```

# 5
VASP calculation (PBE) on crystalline Cs2ZrRuI6 at its relaxed geometry.

Output
As for the uncorrected formation energy: -7.0 eV per formula unit.

```
Cs2ZrRuI6
1.0
-8.191 -0.335 0.919
0.895 -5.693 5.903
-3.369 1.208 7.440
Cs I Zr Ru
2 6 1 1
Cartesian
-7.604 -1.071 5.885
-3.061 -3.749 8.377
-3.508 -0.898 5.430
-7.157 -3.922 8.832
-1.818 -1.502 1.700
-5.478 -4.526 5.122
-5.927 -1.670 2.161
-1.370 -4.358 4.661
-3.648 -3.014 3.411
0.000 0.000 0.000
```

# 6
VASP calculation (PBE) on crystalline BaCaZn2Pd at its relaxed geometry.

Output
Its formation energy is -0.27 eV per atom.

```
BaCaZn2Pd
1.0
5.132 0.000 0.000
0.000 5.132 0.000
0.000 0.000 5.246
Zn Ca Ba Pd
2 1 1 1
Cartesian
0.000 2.566 0.000
2.566 0.000 0.000
0.000 0.000 2.623
2.566 2.566 2.623
0.000 0.000 0.000
```

# 7
VASP calculation (PBE) on crystalline ErThTeOs at its relaxed geometry.

Output
As for the uncorrected formation energy: -2.6 eV per formula unit.

```
ErThTeOs
1.0
-3.110 -2.711 0.312
3.209 -0.225 2.601
-2.537 6.495 3.690
Er Th Te Os
1 1 1 1
Cartesian
2.528 -0.020 2.787
-2.791 2.955 3.026
-2.675 -0.384 2.597
-1.382 4.694 4.728
```

# 8
VASP calculation (PBE) on crystalline Ba2TcSb at its relaxed geometry.

Output
As for the uncorrected formation energy: 0.5 eV per formula unit.

```
Ba2TcSb
1.0
11.802 0.000 0.000
0.000 11.802 0.000
5.901 5.901 2.581
Sb Ba Tc
2 4 2
Cartesian
0.000 0.000 0.000
11.802 5.901 1.291
6.717 2.951 0.645
5.085 8.852 0.645
8.852 10.986 1.936
14.753 12.619 1.936
5.901 5.901 0.000
5.901 11.802 1.291
```

# 9
VASP calculation (PBE) on crystalline LaAsBr2 at its relaxed geometry.

Output
As for the uncorrected formation energy: -2.7 eV per formula unit.

```
LaAsBr2
1.0
2.156 0.000 9.960
-1.078 1.867 9.960
-1.078 -1.867 9.960
As Br La
1 2 1
Cartesian
0.000 0.000 0.000
0.000 0.000 27.051
0.000 0.000 2.830
0.000 0.000 14.940
```

# 10
VASP calculation (PBE) on crystalline La6TeIr2Br3 at its relaxed geometry.

Output
As for the uncorrected formation energy: -15.4 eV per formula unit.

```
La6TeIr2Br3
1.0
-2.122 5.267 -5.021
-4.156 -6.281 0.853
-2.042 3.821 6.805
La Te Ir Br
6 1 2 3
Cartesian
-5.920 4.396 1.198
-4.823 0.076 -1.521
-2.400 -1.589 1.439
-6.670 0.140 3.362
-3.497 2.730 4.157
-1.650 2.666 -0.725
0.000 0.000 0.000
-3.480 -2.442 -1.100
-2.798 1.428 -3.068
-4.860 -2.571 3.340
-3.460 5.377 -0.703
-4.160 1.403 1.318
```

# 11
VASP calculation (PBE) on crystalline Tl3In2Pb4 at its relaxed geometry.

Output
Its formation energy is 0.00 eV per atom.

```
Tl3In2Pb4
1.0
5.950 0.076 -1.021
2.986 5.303 -0.041
1.392 2.689 8.741
Tl In Pb
3 2 4
Cartesian
4.911 3.008 5.221
0.000 0.000 0.000
5.417 5.060 2.458
5.410 1.525 2.138
4.919 6.543 5.541
2.973 1.809 -0.345
7.923 4.826 4.863
2.406 3.242 2.816
7.356 6.259 8.023
```

# 12
VASP calculation (PBE) on crystalline P2OsPt at its relaxed geometry.

Output
Its formation energy is 0.47 eV per atom.

```
P2OsPt
1.0
2.918 0.000 0.000
0.000 4.999 0.000
0.000 0.000 4.025
Os P Pt
1 2 1
Cartesian
0.000 2.499 2.013
0.000 0.000 0.000
1.459 2.499 0.000
1.459 0.000 2.013
```

no.,calculated volume (Å³ per cell),Fermi-level density of states (states/eV per cell)
1,101.8,1.0
2,64.3,4.5
3,147.7,2.6
4,57.3,2.4
5,397.6,2.2
6,138.2,3.5
7,111.5,3.4
8,359.6,9.2
9,120.3,3.5
10,381.5,10.0
11,273.8,3.1
12,58.7,3.7